Below is an optimized crystal structure of Ho7AuI12, with properties calculated at the PBE level.

The value obtained for the density is 6.386 g cm⁻³. The calculation puts the total energy at -77.525 eV/f.u. Its formation energy (no corrections) is -114 kJ/mol of atoms.

The structure belongs to space group R-3 (No. 148, hexagonal axes); the cell edges are 15.6971, 15.6971 and 10.5084 Å and the angles 90.00°, 90.00° and 120.00°. The inequivalent atoms are Ho at (0.0000, 0.0000, 0.0000), Ho at (0.0451, 0.8848, 0.3455), Au at (0.0000, 0.0000, 0.5000), I at (0.0214, 0.4364, 0.1607) and I at (0.0522, 0.8677, 0.8420).